# 1
Here is Ac4Tl5Ag2 after structural relaxation from Alexandria. Energies are from PBE.

Properties
The volume is 32.5 Å³/atom. Its total magnetic moment is 0.00 Bohr magnetons per cell. The formation enthalpy at 0 K comes out at -0.29 eV per atom. As for the calculated total energy: -3.374 eV per atom.

POSCAR file:
```
Ac4Tl5Ag2
1.0
8.4218 0.0000 0.0000
0.0000 4.0968 0.0000
-0.6829 0.0000 10.3660
Ac Tl Ag
4 5 2
Cartesian
1.4089 0.0000 3.7909
1.4469 0.0000 9.5255
6.2920 0.0000 0.8406
6.3299 0.0000 6.5751
0.8705 2.0484 6.6669
3.6261 2.0484 1.8062
3.8694 2.0484 5.1830
4.1127 2.0484 8.5598
6.8683 2.0484 3.6991
0.5251 2.0484 1.3272
7.2137 2.0484 9.0388
```


# 2
Here is AcTm2Tl2Ag2 after structural relaxation from Alexandria. Energies are from PBE.

Properties
The volume is 27.4 Å³/atom. Its total magnetic moment is 0.00 Bohr magnetons per cell. The formation enthalpy at 0 K comes out at -0.23 eV per atom. As for the calculated total energy: -3.583 eV per atom.

POSCAR file:
```
AcTm2Tl2Ag2
1.0
2.4709 1.4266 9.0734
-2.4709 1.4266 9.0734
0.0000 -2.8531 9.0734
Ac Tm Tl Ag
1 2 2 2
Cartesian
0.0000 0.0000 0.0000
0.0000 0.0000 3.6802
0.0000 0.0000 23.5401
0.0000 0.0000 6.9919
0.0000 0.0000 20.2284
0.0000 0.0000 12.0617
0.0000 0.0000 15.1585
```


# 3
Here is Ac5TmAg4 after structural relaxation from Alexandria. Energies are from PBE.

Properties
The volume is 32.4 Å³/atom. Its total magnetic moment is 0.00 Bohr magnetons per cell. The formation enthalpy at 0 K comes out at -0.19 eV per atom. As for the calculated total energy: -3.830 eV per atom.

POSCAR file:
```
Ac5TmAg4
1.0
3.9512 0.0000 0.0000
0.0000 3.9512 0.0000
0.0000 0.0000 20.7819
Ac Tm Ag
5 1 4
Cartesian
0.0000 0.0000 0.0000
0.0000 0.0000 3.9977
0.0000 0.0000 7.9406
0.0000 0.0000 12.8413
0.0000 0.0000 16.7842
1.9756 1.9756 10.3910
1.9756 1.9756 1.9792
1.9756 1.9756 6.0120
1.9756 1.9756 14.7699
1.9756 1.9756 18.8027
```


# 4
Here is AcTm2Ag after structural relaxation from Alexandria. Energies are from PBE.

Properties
The volume is 29.6 Å³/atom. Its total magnetic moment is 0.00 Bohr magnetons per cell. The calculation puts the energy above the most stable polymorph in this dataset at 296 meV/atom. The formation enthalpy at 0 K comes out at 0.20 eV per atom. As for the calculated total energy: -3.780 eV per atom.

POSCAR file:
```
AcTm2Ag
1.0
7.7980 0.0000 0.0000
0.0000 7.7980 0.0000
0.0000 0.0000 7.7980
Ac Tm Ag
4 8 4
Cartesian
0.0000 0.0000 0.0000
0.0000 3.8990 3.8990
3.8990 0.0000 3.8990
3.8990 3.8990 0.0000
1.9495 1.9495 1.9495
1.9495 1.9495 5.8485
1.9495 5.8485 1.9495
1.9495 5.8485 5.8485
5.8485 1.9495 1.9495
5.8485 1.9495 5.8485
5.8485 5.8485 1.9495
5.8485 5.8485 5.8485
0.0000 0.0000 3.8990
0.0000 3.8990 0.0000
3.8990 0.0000 0.0000
3.8990 3.8990 3.8990
```


# 5
Here is AcTm2Ag after structural relaxation from Alexandria. Energies are from PBE.

Properties
The volume is 29.9 Å³/atom. Its total magnetic moment is 0.00 Bohr magnetons per cell. The calculation puts the energy above the most stable polymorph in this dataset at 0 meV/atom. The formation enthalpy at 0 K comes out at -0.10 eV per atom. As for the calculated total energy: -4.076 eV per atom.

POSCAR file:
```
AcTm2Ag
1.0
3.6881 0.0000 0.0000
0.0000 3.6881 0.0000
0.0000 0.0000 8.7990
Ac Tm Ag
1 2 1
Cartesian
0.0000 0.0000 0.0000
1.8441 1.8441 2.6859
1.8441 1.8441 6.1131
0.0000 0.0000 4.3995
```


# 6
Here is AcTm5Ag4 after structural relaxation from Alexandria. Energies are from PBE.

Properties
The volume is 25.7 Å³/atom. Its total magnetic moment is 0.00 Bohr magnetons per cell. The formation enthalpy at 0 K comes out at -0.25 eV per atom. As for the calculated total energy: -4.032 eV per atom.

POSCAR file:
```
AcTm5Ag4
1.0
3.5817 0.0000 0.0000
0.0000 3.5817 0.0000
0.0000 0.0000 20.0309
Ac Tm Ag
1 5 4
Cartesian
0.0000 0.0000 0.0000
1.7908 1.7908 2.7832
1.7908 1.7908 6.3770
1.7908 1.7908 10.0154
1.7908 1.7908 13.6539
1.7908 1.7908 17.2477
0.0000 0.0000 4.5436
0.0000 0.0000 8.2033
0.0000 0.0000 11.8276
0.0000 0.0000 15.4873
```


# 7
Here is AcTmAg2 after structural relaxation from Alexandria. Energies are from PBE.

Properties
The volume is 26.7 Å³/atom. Its total magnetic moment is 0.00 Bohr magnetons per cell. The calculation puts the energy above the most stable polymorph in this dataset at 0 meV/atom. The formation enthalpy at 0 K comes out at -0.28 eV per atom. As for the calculated total energy: -3.854 eV per atom.

POSCAR file:
```
AcTmAg2
1.0
3.7291 0.0000 0.0000
0.0000 3.7291 0.0000
0.0000 0.0000 7.6844
Ac Tm Ag
1 1 2
Cartesian
0.0000 0.0000 0.0000
0.0000 0.0000 3.8422
1.8646 1.8646 2.2364
1.8646 1.8646 5.4480
```


# 8
Here is AcTmAg after structural relaxation from Alexandria. Energies are from PBE.

Properties
The volume is 31.3 Å³/atom. Its total magnetic moment is 0.00 Bohr magnetons per cell. The calculation puts the energy above the most stable polymorph in this dataset at 111 meV/atom. The formation enthalpy at 0 K comes out at -0.03 eV per atom. As for the calculated total energy: -3.842 eV per atom.

POSCAR file:
```
AcTmAg
1.0
5.1560 0.0000 0.0000
-2.5780 4.4652 0.0000
0.0000 0.0000 4.0826
Ac Tm Ag
1 1 1
Cartesian
0.0000 0.0000 0.0000
0.0000 2.9768 2.0413
2.5780 1.4884 2.0413
```


# 9
Here is Ac2TmAg5 after structural relaxation from Alexandria. Energies are from PBE.

Properties
The volume is 25.8 Å³/atom. Its total magnetic moment is 0.00 Bohr magnetons per cell. The formation enthalpy at 0 K comes out at -0.17 eV per atom. As for the calculated total energy: -3.541 eV per atom.

POSCAR file:
```
Ac2TmAg5
1.0
5.3054 0.0000 0.0000
0.0000 5.3054 0.0000
0.0000 0.0000 14.6783
Ac Tm Ag
4 2 10
Cartesian
0.0000 0.0000 3.3333
0.0000 0.0000 11.3450
2.6527 2.6527 4.0058
2.6527 2.6527 10.6724
0.0000 0.0000 7.3391
2.6527 2.6527 0.0000
0.0000 0.0000 0.0000
0.0000 2.6527 1.4937
0.0000 2.6527 5.8454
0.0000 2.6527 8.8329
0.0000 2.6527 13.1845
2.6527 0.0000 1.4937
2.6527 0.0000 5.8454
2.6527 0.0000 8.8329
2.6527 0.0000 13.1845
2.6527 2.6527 7.3391
```


# 10
Here is AcTm2Ag after structural relaxation from Alexandria. Energies are from PBE.

Properties
The volume is 31.8 Å³/atom. Its total magnetic moment is 0.00 Bohr magnetons per cell. The calculation puts the energy above the most stable polymorph in this dataset at 300 meV/atom. The formation enthalpy at 0 K comes out at 0.20 eV per atom. As for the calculated total energy: -3.776 eV per atom.

POSCAR file:
```
AcTm2Ag
1.0
3.5690 0.0000 0.0000
-1.7845 3.0909 0.0000
0.0000 0.0000 34.5616
Ac Tm Ag
3 6 3
Cartesian
0.0000 0.0000 0.0000
0.0000 2.0606 23.0411
1.7845 1.0303 11.5205
0.0000 0.0000 3.5334
0.0000 0.0000 31.0281
0.0000 2.0606 19.5076
0.0000 2.0606 26.5745
1.7845 1.0303 7.9871
1.7845 1.0303 15.0540
0.0000 0.0000 17.2808
0.0000 2.0606 5.7603
1.7845 1.0303 28.8013
```


# 11
Here is AcTm4Ag5 after structural relaxation from Alexandria. Energies are from PBE.

Properties
The volume is 24.5 Å³/atom. Its total magnetic moment is 0.00 Bohr magnetons per cell. The formation enthalpy at 0 K comes out at -0.31 eV per atom. As for the calculated total energy: -3.936 eV per atom.

POSCAR file:
```
AcTm4Ag5
1.0
3.6302 0.0000 0.0000
0.0000 3.6302 0.0000
0.0000 0.0000 18.5754
Ac Tm Ag
1 4 5
Cartesian
0.0000 0.0000 0.0000
0.0000 0.0000 3.9355
0.0000 0.0000 7.5074
0.0000 0.0000 11.0680
0.0000 0.0000 14.6399
1.8151 1.8151 2.2805
1.8151 1.8151 5.7154
1.8151 1.8151 9.2877
1.8151 1.8151 12.8600
1.8151 1.8151 16.2949
```


# 12
Here is AcTm3Ag2 after structural relaxation from Alexandria. Energies are from PBE.

Properties
The volume is 27.7 Å³/atom. Its total magnetic moment is 0.00 Bohr magnetons per cell. The formation enthalpy at 0 K comes out at -0.18 eV per atom. As for the calculated total energy: -4.053 eV per atom.

POSCAR file:
```
AcTm3Ag2
1.0
3.6370 0.0000 0.0000
0.0000 3.6370 0.0000
0.0000 0.0000 12.5592
Ac Tm Ag
1 3 2
Cartesian
0.0000 0.0000 0.0000
1.8185 1.8185 2.7628
1.8185 1.8185 6.2796
1.8185 1.8185 9.7964
0.0000 0.0000 4.4749
0.0000 0.0000 8.0843
```